Crystalline K2MgAl2 at its relaxed geometry. Source: Alexandria via LeMat-Bulk, functional GGA-PBE.

The structure in CIF format:
```
data_K2MgAl2
_cell_length_a 7.508
_cell_length_b 7.508
_cell_length_c 5.913
_cell_angle_alpha 90.00
_cell_angle_beta 90.00
_cell_angle_gamma 90.00
_symmetry_space_group_name_H-M 'P 4/m b m'
_symmetry_Int_Tables_number 127
_symmetry_space_group_name_Hall '-P 4 2ab'
loop_
_atom_site_label
_atom_site_fract_x
_atom_site_fract_y
_atom_site_fract_z
_atom_site_occupancy
K1 0.180 0.320 0.000 1
Mg1 0.000 0.000 0.500 1
Al1 0.123 0.623 0.500 1
```

Calculated values
Crystal system ... tetragonal
DFT total energy ... -19.75 eV/cell
ΔH_f (0 K) ... 135 kJ/mol of formula units
Theoretical density ... 1.6 g/cm3